Record 1
A geometry-optimized Li2YSi structure, computed with PBE.

ΔE_f (raw) (eV per atom): 0.061
Space group: No. 160

The structure in CIF format:
```
data_Li2YSi
_space_group_name_H-M_alt 'P 1'
_space_group_IT_number 1
_cell_length_a 9.357
_cell_length_b 9.357
_cell_length_c 9.357
_cell_angle_alpha 21.04
_cell_angle_beta 21.04
_cell_angle_gamma 21.04
loop_
_space_group_symop_operation_xyz
'x,y,z'
loop_
_atom_site_label
_atom_site_type_symbol
_atom_site_fract_x
_atom_site_fract_y
_atom_site_fract_z
Li1 Li 0.000 0.000 0.000
Li2 Li 0.243 0.243 0.243
Y1 Y 0.474 0.474 0.474
Si1 Si 0.729 0.729 0.729
```


Record 2
A geometry-optimized LiY2Si2 structure, computed with PBE.

Relative energy among the computed polymorphs (meV per atom): 346
ΔE_f (raw) (eV per atom): -0.317
Space group: No. 127

The structure in CIF format:
```
data_LiY2Si2
_space_group_name_H-M_alt 'P 1'
_space_group_IT_number 1
_cell_length_a 8.436
_cell_length_b 8.436
_cell_length_c 3.261
_cell_angle_alpha 90.00
_cell_angle_beta 90.00
_cell_angle_gamma 90.00
loop_
_space_group_symop_operation_xyz
'x,y,z'
loop_
_atom_site_label
_atom_site_type_symbol
_atom_site_fract_x
_atom_site_fract_y
_atom_site_fract_z
Li1 Li 0.000 0.000 0.000
Li2 Li 0.500 0.500 0.000
Y1 Y 0.138 0.362 0.000
Y2 Y 0.362 0.862 0.000
Y3 Y 0.638 0.138 0.000
Y4 Y 0.862 0.638 0.000
Si1 Si 0.164 0.664 0.500
Si2 Si 0.336 0.164 0.500
Si3 Si 0.664 0.836 0.500
Si4 Si 0.836 0.336 0.500
```